VASP calculation (PBE) on a relaxed Sc2B2SbRu5 crystal.

Cell lengths 9.532, 9.532, 3.077 Å; angles 90.00, 90.00, 90.00 degrees
Atoms (fractional coordinates):
Sc1 0.174 0.326 0.000
Sc2 0.326 0.826 0.000
Sc3 0.674 0.174 0.000
Sc4 0.826 0.674 0.000
B1 0.121 0.621 0.000
B2 0.379 0.121 0.000
B3 0.621 0.879 0.000
B4 0.879 0.379 0.000
Sb1 0.000 0.000 0.000
Sb2 0.500 0.500 0.000
Ru1 0.000 0.500 0.500
Ru2 0.072 0.780 0.500
Ru3 0.220 0.072 0.500
Ru4 0.280 0.572 0.500
Ru5 0.428 0.280 0.500
Ru6 0.500 0.000 0.500
Ru7 0.572 0.720 0.500
Ru8 0.720 0.428 0.500
Ru9 0.780 0.928 0.500
Ru10 0.928 0.220 0.500

Results
Uncorrected formation energy in eV/atom: -0.5686
Symmetry: P4/mbm (127)

=====

VASP calculation (PBE) on a relaxed SnBSbRu2 crystal.

Cell lengths 4.330, 4.330, 4.483 Å; angles 90.00, 90.00, 90.00 degrees
Atoms (fractional coordinates):
Sn1 0.000 0.000 0.000
B1 0.500 0.500 0.500
Sb1 0.500 0.500 0.000
Ru1 0.000 0.500 0.500
Ru2 0.500 0.000 0.500

Results
Uncorrected formation energy in eV/atom: 0.5219
Symmetry: P4/mmm (123)

=====

VASP calculation (PBE) on a relaxed BSb2TeRu crystal.

Cell lengths 4.986, 4.986, 5.619 Å; angles 90.00, 90.00, 90.00 degrees
Atoms (fractional coordinates):
B1 0.000 0.000 0.000
Sb1 0.000 0.500 0.500
Sb2 0.500 0.000 0.500
Te1 0.500 0.500 0.000
Ru1 0.500 0.500 0.500

Results
Uncorrected formation energy in eV/atom: 1.2847
Symmetry: P4/mmm (123)

=====

VASP calculation (PBE) on a relaxed BSb2TeRu crystal.

Cell lengths 4.654, 4.654, 4.708 Å; angles 90.00, 90.00, 90.00 degrees
Atoms (fractional coordinates):
B1 0.000 0.000 0.000
Sb1 0.000 0.500 0.000
Sb2 0.500 0.000 0.000
Te1 0.000 0.000 0.500
Ru1 0.500 0.500 0.500

Results
Uncorrected formation energy in eV/atom: 1.0568
Symmetry: P4/mmm (123)

=====

VASP calculation (PBE) on a relaxed ZnBSbRu2 crystal.

Cell lengths 4.243, 4.243, 4.008 Å; angles 90.00, 90.00, 90.00 degrees
Atoms (fractional coordinates):
Zn1 0.000 0.000 0.000
B1 0.000 0.000 0.500
Sb1 0.500 0.500 0.000
Ru1 0.000 0.500 0.500
Ru2 0.500 0.000 0.500

Results
Uncorrected formation energy in eV/atom: 0.1235
Symmetry: P4/mmm (123)

=====

VASP calculation (PBE) on a relaxed ZnB2SbRu crystal.

Cell lengths 4.339, 4.339, 5.116 Å; angles 90.00, 90.00, 90.00 degrees
Atoms (fractional coordinates):
Zn1 0.000 0.000 0.000
B1 0.000 0.500 0.500
B2 0.500 0.000 0.500
Sb1 0.500 0.500 0.500
Ru1 0.500 0.500 0.000

Results
Uncorrected formation energy in eV/atom: 1.9456
Symmetry: P4/mmm (123)

=====

VASP calculation (PBE) on a relaxed Zr2BSbRu crystal.

Cell lengths 5.093, 5.093, 4.032 Å; angles 90.00, 90.00, 90.00 degrees
Atoms (fractional coordinates):
Zr1 0.000 0.500 0.000
Zr2 0.500 0.000 0.000
B1 0.000 0.000 0.500
Sb1 0.500 0.500 0.500
Ru1 0.000 0.000 0.000

Results
Uncorrected formation energy in eV/atom: 0.1276
Symmetry: P4/mmm (123)

=====

VASP calculation (PBE) on a relaxed ScB2Ru3 crystal.

Cell lengths 5.732, 4.692, 6.057 Å; angles 90.00, 109.80, 90.00 degrees
Atoms (fractional coordinates):
Sc1 0.117 0.250 0.178
Sc2 0.883 0.750 0.822
B1 0.256 0.563 0.551
B2 0.256 0.937 0.551
B3 0.744 0.063 0.449
B4 0.744 0.437 0.449
Ru1 0.080 0.250 0.690
Ru2 0.429 0.750 0.888
Ru3 0.454 0.750 0.333
Ru4 0.546 0.250 0.667
Ru5 0.571 0.250 0.112
Ru6 0.920 0.750 0.310

Results
Energy relative to the elements in eV/atom: -0.38
Symmetry: P2_1/m (11)

=====

VASP calculation (PBE) on a relaxed ScB3Ru crystal.

Cell lengths 4.031, 4.031, 4.031 Å; angles 90.00, 90.00, 90.00 degrees
Atoms (fractional coordinates):
Sc1 0.000 0.000 0.000
B1 0.000 0.000 0.500
B2 0.000 0.500 0.000
B3 0.500 0.000 0.000
Ru1 0.500 0.500 0.500

Results
Energy relative to the elements in eV/atom: 2.24
Symmetry: Pm-3m (221)

=====

VASP calculation (PBE) on a relaxed ScBRu4 crystal.

Cell lengths 7.365, 7.365, 5.741 Å; angles 90.00, 90.00, 146.94 degrees
Atoms (fractional coordinates):
Sc1 0.087 0.913 0.750
Sc2 0.913 0.087 0.250
B1 0.393 0.607 0.750
B2 0.607 0.393 0.250
Ru1 0.113 0.887 0.250
Ru2 0.297 0.703 0.022
Ru3 0.297 0.703 0.478
Ru4 0.500 0.500 0.000
Ru5 0.500 0.500 0.500
Ru6 0.703 0.297 0.522
Ru7 0.703 0.297 0.978
Ru8 0.887 0.113 0.750

Results
Energy relative to the elements in eV/atom: -0.20
Symmetry: Cmcm (63)

=====

VASP calculation (PBE) on a relaxed ScB2Ru crystal.

Cell lengths 5.675, 5.196, 6.155 Å; angles 90.00, 90.00, 90.00 degrees
Atoms (fractional coordinates):
Sc1 0.012 0.250 0.170
Sc2 0.488 0.750 0.670
Sc3 0.512 0.250 0.330
Sc4 0.988 0.750 0.830
B1 0.141 0.583 0.468
B2 0.141 0.917 0.468
B3 0.359 0.083 0.968
B4 0.359 0.417 0.968
B5 0.641 0.583 0.032
B6 0.641 0.917 0.032
B7 0.859 0.083 0.532
B8 0.859 0.417 0.532
Ru1 0.182 0.250 0.679
Ru2 0.318 0.750 0.179
Ru3 0.682 0.250 0.821
Ru4 0.818 0.750 0.321

Results
Energy relative to the elements in eV/atom: -0.71
Symmetry: Pnma (62)

=====

VASP calculation (PBE) on a relaxed ScB2Ru crystal.

Cell lengths 7.589, 7.589, 7.589 Å; angles 149.57, 149.57, 43.57 degrees
Atoms (fractional coordinates):
Sc1 0.375 0.625 0.750
Sc2 0.625 0.375 0.250
B1 0.000 0.000 0.000
B2 0.000 0.000 0.500
B3 0.000 0.500 0.000
B4 0.500 0.000 0.500
Ru1 0.125 0.875 0.250
Ru2 0.875 0.125 0.750

Results
Energy relative to the elements in eV/atom: -0.10
Symmetry: I4_1/amd (141)

=====

VASP calculation (PBE) on a relaxed ScB2Ru2 crystal.

Cell lengths 6.304, 6.304, 2.896 Å; angles 90.00, 90.00, 90.00 degrees
Atoms (fractional coordinates):
Sc1 0.000 0.000 0.000
Sc2 0.500 0.500 0.000
B1 0.112 0.388 0.000
B2 0.388 0.888 0.000
B3 0.612 0.112 0.000
B4 0.888 0.612 0.000
Ru1 0.162 0.662 0.500
Ru2 0.338 0.162 0.500
Ru3 0.662 0.838 0.500
Ru4 0.838 0.338 0.500

Results
Energy relative to the elements in eV/atom: -0.36
Symmetry: P4/mbm (127)

=====

VASP calculation (PBE) on a relaxed ScBRu2 crystal.

Cell lengths 8.336, 8.336, 8.336 Å; angles 152.45, 152.45, 39.36 degrees
Atoms (fractional coordinates):
Sc1 0.000 0.000 0.000
Sc2 0.750 0.250 0.500
B1 0.250 0.750 0.500
B2 0.500 0.500 0.000
Ru1 0.205 0.625 0.080
Ru2 0.375 0.455 0.580
Ru3 0.545 0.125 0.920
Ru4 0.875 0.795 0.420

Results
Energy relative to the elements in eV/atom: 0.29
Symmetry: I-42d (122)

=====

VASP calculation (PBE) on a relaxed ScB2Ru2 crystal.

Cell lengths 4.295, 3.060, 9.206 Å; angles 90.00, 95.79, 90.00 degrees
Atoms (fractional coordinates):
Sc1 0.185 0.250 0.246
Sc2 0.815 0.750 0.754
B1 0.132 0.750 0.021
B2 0.289 0.250 0.663
B3 0.711 0.750 0.337
B4 0.868 0.250 0.979
Ru1 0.251 0.750 0.505
Ru2 0.339 0.250 0.894
Ru3 0.661 0.750 0.106
Ru4 0.749 0.250 0.495

Results
Energy relative to the elements in eV/atom: -0.48
Symmetry: P2_1/m (11)

=====

VASP calculation (PBE) on a relaxed ScB2Ru crystal.

Cell lengths 3.961, 3.961, 3.961 Å; angles 60.00, 60.00, 60.00 degrees
Atoms (fractional coordinates):
Sc1 0.000 0.000 0.000
B1 0.250 0.250 0.250
B2 0.750 0.750 0.750
Ru1 0.500 0.500 0.500

Results
Energy relative to the elements in eV/atom: -0.07
Symmetry: Fm-3m (225)

=====

VASP calculation (PBE) on a relaxed ScBRu2 crystal.

Cell lengths 2.911, 2.911, 6.237 Å; angles 90.00, 90.00, 90.00 degrees
Atoms (fractional coordinates):
Sc1 0.000 0.000 0.000
B1 0.000 0.000 0.500
Ru1 0.500 0.500 0.299
Ru2 0.500 0.500 0.701

Results
Energy relative to the elements in eV/atom: -0.11
Symmetry: P4/mmm (123)

=====

VASP calculation (PBE) on a relaxed ScB4Ru crystal.

Cell lengths 5.856, 11.292, 3.450 Å; angles 90.00, 90.00, 90.00 degrees
Atoms (fractional coordinates):
Sc1 0.130 0.149 0.000
Sc2 0.370 0.649 0.000
Sc3 0.630 0.351 0.000
Sc4 0.870 0.851 0.000
B1 0.021 0.695 0.500
B2 0.115 0.549 0.500
B3 0.133 0.971 0.500
B4 0.205 0.813 0.500
B5 0.295 0.313 0.500
B6 0.367 0.471 0.500
B7 0.385 0.049 0.500
B8 0.479 0.195 0.500
B9 0.521 0.805 0.500
B10 0.615 0.951 0.500
B11 0.633 0.529 0.500
B12 0.705 0.687 0.500
B13 0.795 0.187 0.500
B14 0.867 0.029 0.500
B15 0.885 0.451 0.500
B16 0.979 0.305 0.500
Ru1 0.143 0.406 0.000
Ru2 0.357 0.906 0.000
Ru3 0.643 0.094 0.000
Ru4 0.857 0.594 0.000

Results
Energy relative to the elements in eV/atom: -0.62
Symmetry: Pbam (55)

=====

VASP calculation (PBE) on a relaxed ScB3Ru crystal.

Cell lengths 3.997, 3.997, 3.997 Å; angles 90.00, 90.00, 90.00 degrees
Atoms (fractional coordinates):
Sc1 0.000 0.000 0.000
B1 0.000 0.500 0.500
B2 0.500 0.000 0.500
B3 0.500 0.500 0.000
Ru1 0.500 0.500 0.500

Results
Energy relative to the elements in eV/atom: 0.36
Symmetry: Pm-3m (221)

=====

VASP calculation (PBE) on a relaxed ScB4Ru4 crystal.

Cell lengths 7.267, 7.267, 4.146 Å; angles 90.00, 90.00, 90.00 degrees
Atoms (fractional coordinates):
Sc1 0.250 0.250 0.250
Sc2 0.750 0.750 0.750
B1 0.060 0.926 0.135
B2 0.074 0.560 0.635
B3 0.426 0.940 0.635
B4 0.440 0.574 0.135
B5 0.560 0.426 0.865
B6 0.574 0.060 0.365
B7 0.926 0.440 0.365
B8 0.940 0.074 0.865
Ru1 0.112 0.631 0.137
Ru2 0.131 0.888 0.637
Ru3 0.369 0.612 0.637
Ru4 0.388 0.869 0.137
Ru5 0.612 0.131 0.863
Ru6 0.631 0.388 0.363
Ru7 0.869 0.112 0.363
Ru8 0.888 0.369 0.863

Results
Energy relative to the elements in eV/atom: -0.40
Symmetry: P4_2/n (86)

=====

no.,calculated total energy (eV per formula unit)
1,-82.2
2,-30.7
3,-20.9
4,-22.1
5,-30.0
6,-18.3
7,-36.5
8,-49.8
9,-24.4
10,-51.3
11,-31.8
12,-29.4
13,-40.1
14,-30.4
15,-40.7
16,-29.2
17,-32.0
18,-46.1
19,-33.8
20,-73.7